The following is a PBE calculation of crystalline BeNbMo3 at its relaxed geometry, from the Alexandria database.

Lattice parameters (Å, degrees): 4.2817 4.2817 4.2817 90.00 90.00 90.00
Space group Pm-3m (No. 221)
Symmetry-distinct sites (fractional):
Be: 0.0000 0.0000 0.0000
Nb: 0.5000 0.5000 0.5000
Mo: 0.0000 0.0000 0.5000

raw total energy: -43.1 eV for the cell shown
relative energy among the computed polymorphs: 0.0 meV/atom
magnetic moment: 0.0 μB/cell
formation energy from the elements: 0.6368 eV per atom
ρ: 8245 kg/m³


The following is a PBE calculation of crystalline BeNb3Mo at its relaxed geometry, from the Alexandria database.

Lattice parameters (Å, degrees): 4.4139 4.4139 4.4139 90.00 90.00 90.00
Space group Pm-3m (No. 221)
Symmetry-distinct sites (fractional):
Be: 0.0000 0.0000 0.0000
Nb: 0.0000 0.0000 0.5000
Mo: 0.5000 0.5000 0.5000

raw total energy: -41.3 eV for the cell shown
relative energy among the computed polymorphs: 0.0 meV/atom
magnetic moment: 0.0 μB/cell
formation energy from the elements: 0.7030 eV per atom
ρ: 7409 kg/m³


The following is a PBE calculation of crystalline Be8Nb3Mo at its relaxed geometry, from the Alexandria database.

Lattice parameters (Å, degrees): 4.5956 4.5956 7.4393 90.00 90.00 120.00
Space group P3m1 (No. 156)
Symmetry-distinct sites (fractional):
Be: 0.0000 0.0000 0.0000
Be: 0.0000 0.0000 0.4994
Be: 0.1704 0.3408 0.7450
Be: 0.3435 0.1718 0.2520
Nb: 0.3333 0.6667 0.0665
Nb: 0.3333 0.6667 0.4360
Nb: 0.6667 0.3333 0.9300
Mo: 0.6667 0.3333 0.5648

raw total energy: -73.8 eV for the cell shown
magnetic moment: 0.0 μB/cell
formation energy from the elements: -0.2430 eV per atom
ρ: 5452 kg/m³


The following is a PBE calculation of crystalline Be10NbMo at its relaxed geometry, from the Alexandria database.

Lattice parameters (Å, degrees): 3.3736 4.3710 7.5674 90.00 90.00 90.00
Space group Pmmm (No. 47)
Symmetry-distinct sites (fractional):
Be: 0.0000 0.0000 0.0000
Be: 0.0000 0.2482 0.2546
Be: 0.0000 0.5000 0.5000
Be: 0.5000 0.0000 0.1715
Be: 0.5000 0.5000 0.3410
Nb: 0.5000 0.5000 0.0000
Mo: 0.5000 0.0000 0.5000

raw total energy: -60.3 eV for the cell shown
magnetic moment: 0.0 μB/cell
formation energy from the elements: -0.1813 eV per atom
ρ: 4151 kg/m³